Entry from Alexandria: a relaxed RbCaH3 crystal (PBEsol).

As for the final energy: -2.996 eV/atom.

The space group is Pm-3m (No. 221) and the conventional cell measures 4.440, 4.440 and 4.440 Å, with angles of 90.00, 90.00 and 90.00 degrees. Symmetry generates all atoms from Rb at (0.000, 0.000, 0.000), Ca at (0.500, 0.500, 0.500) and H at (0.000, 0.500, 0.500).